The following is a PBE-GGA calculation of a geometry-optimized URhSe structure, from Alexandria.

a b c (Å): 4.3216 4.3216 3.6104
angles (deg): 90.00 90.00 120.00
Last column: nearest neighbours and their distance in Å.
Fractional positions:
1 U 0.0000 0.0000 0.0000  6 Rh 3.08, 6 Se 3.08
2 Rh 0.3333 0.6667 0.5000  3 Se 2.50
3 Se 0.6667 0.3333 0.5000  3 Rh 2.50

Calculated values
E above lowest polymorph (eV/atom): 0.070
Formation energy (no corrections) (eV per atom): -0.67